Density functional theory data (PBE) for a geometry-optimized Lu3Sc5H12 structure. Values from VASP.

Values from the calculation:
space-group type = Ia-3d
D(E_F) = 50.5 states/eV/cell
ρ = 5.54 g/cm3

```
&SYSTEM
  ibrav = 0, nat = 80, ntyp = 3
/
ATOMIC_SPECIES
Lu 174.97 Lu.upf
Sc 44.96 Sc.upf
H 1.01 H.upf
CELL_PARAMETERS angstrom
-6.111 6.111 6.111
6.111 -6.111 6.111
6.111 6.111 -6.111
ATOMIC_POSITIONS crystal
Lu 0.125 0.250 0.375
Lu 0.125 0.375 0.750
Lu 0.250 0.375 0.125
Lu 0.250 0.875 0.625
Lu 0.375 0.125 0.250
Lu 0.375 0.750 0.125
Lu 0.625 0.250 0.875
Lu 0.625 0.875 0.750
Lu 0.750 0.125 0.375
Lu 0.750 0.625 0.875
Lu 0.875 0.625 0.250
Lu 0.875 0.750 0.625
Sc 0.000 0.000 0.000
Sc 0.000 0.000 0.500
Sc 0.000 0.500 0.000
Sc 0.000 0.500 0.500
Sc 0.125 0.750 0.875
Sc 0.125 0.875 0.250
Sc 0.250 0.125 0.875
Sc 0.250 0.625 0.375
Sc 0.375 0.250 0.625
Sc 0.375 0.625 0.750
Sc 0.500 0.000 0.000
Sc 0.500 0.000 0.500
Sc 0.500 0.500 0.000
Sc 0.500 0.500 0.500
Sc 0.625 0.375 0.250
Sc 0.625 0.750 0.375
Sc 0.750 0.375 0.625
Sc 0.750 0.875 0.125
Sc 0.875 0.125 0.750
Sc 0.875 0.250 0.125
H 0.058 0.219 0.147
H 0.058 0.339 0.911
H 0.072 0.719 0.661
H 0.072 0.853 0.411
H 0.089 0.647 0.428
H 0.089 0.942 0.661
H 0.147 0.058 0.219
H 0.147 0.589 0.928
H 0.161 0.219 0.572
H 0.161 0.442 0.589
H 0.219 0.147 0.058
H 0.219 0.572 0.161
H 0.281 0.339 0.928
H 0.281 0.442 0.353
H 0.339 0.911 0.058
H 0.339 0.928 0.281
H 0.353 0.281 0.442
H 0.353 0.572 0.911
H 0.411 0.072 0.853
H 0.411 0.839 0.558
H 0.428 0.089 0.647
H 0.428 0.839 0.781
H 0.442 0.353 0.281
H 0.442 0.589 0.161
H 0.558 0.411 0.839
H 0.558 0.647 0.719
H 0.572 0.161 0.219
H 0.572 0.911 0.353
H 0.589 0.161 0.442
H 0.589 0.928 0.147
H 0.647 0.428 0.089
H 0.647 0.719 0.558
H 0.661 0.072 0.719
H 0.661 0.089 0.942
H 0.719 0.558 0.647
H 0.719 0.661 0.072
H 0.781 0.428 0.839
H 0.781 0.853 0.942
H 0.839 0.558 0.411
H 0.839 0.781 0.428
H 0.853 0.411 0.072
H 0.853 0.942 0.781
H 0.911 0.058 0.339
H 0.911 0.353 0.572
H 0.928 0.147 0.589
H 0.928 0.281 0.339
H 0.942 0.661 0.089
H 0.942 0.781 0.853
```

---

Density functional theory data (PBE) for a geometry-optimized RbBa2PbS4 structure. Values from VASP.

Values from the calculation:
space-group type = Imma
D(E_F) = 25.4 states/eV/cell
energy relative to the elements, uncorrected = -1.24 eV per atom
ρ = 4.50 g/cm3

```
&SYSTEM
  ibrav = 0, nat = 16, ntyp = 4
/
ATOMIC_SPECIES
Rb 85.47 Rb.upf
Ba 137.33 Ba.upf
Pb 207.20 Pb.upf
S 32.06 S.upf
CELL_PARAMETERS angstrom
-4.487 4.512 6.343
4.487 -4.512 6.343
4.487 4.512 -6.343
ATOMIC_POSITIONS crystal
Rb 0.500 0.000 0.000
Rb 0.500 0.500 0.500
Ba 0.000 0.000 0.000
Ba 0.000 0.000 0.500
Ba 0.000 0.500 0.000
Ba 0.500 0.000 0.500
Pb 0.000 0.500 0.500
Pb 0.500 0.500 0.000
S 0.228 0.740 0.488
S 0.246 0.256 0.510
S 0.246 0.735 0.990
S 0.247 0.260 0.988
S 0.753 0.740 0.012
S 0.754 0.265 0.010
S 0.754 0.744 0.490
S 0.772 0.260 0.512
```

---

Number 1: total energy -4.760 eV/atom, total magnetic moment 0.0 μB per formula unit. Number 2: total energy -4.372 eV/atom, total magnetic moment 0.7 μB per formula unit.